(1)
VASP calculation (PBEsol) on a geometry-optimized Lu6Te2Au structure.

a = 3.936 Å, b = 11.151 Å, c = 20.923 Å
α = 90.00°, β = 90.00°, γ = 90.00°
Atoms (fractional coordinates):
1 Lu 0.250 0.185 0.609
2 Lu 0.250 0.315 0.109
3 Lu 0.750 0.815 0.391
4 Lu 0.750 0.685 0.891
5 Lu 0.250 0.469 0.657
6 Lu 0.250 0.031 0.157
7 Lu 0.750 0.531 0.343
8 Lu 0.750 0.969 0.843
9 Lu 0.250 0.760 0.767
10 Lu 0.250 0.740 0.267
11 Lu 0.750 0.240 0.233
12 Lu 0.750 0.260 0.733
13 Lu 0.250 0.121 0.974
14 Lu 0.250 0.379 0.474
15 Lu 0.750 0.879 0.026
16 Lu 0.750 0.621 0.526
17 Lu 0.250 0.437 0.860
18 Lu 0.250 0.063 0.360
19 Lu 0.750 0.563 0.140
20 Lu 0.750 0.937 0.640
21 Lu 0.250 0.889 0.508
22 Lu 0.250 0.611 0.008
23 Lu 0.750 0.111 0.492
24 Lu 0.750 0.389 0.992
25 Te 0.250 0.043 0.737
26 Te 0.250 0.457 0.237
27 Te 0.750 0.957 0.263
28 Te 0.750 0.543 0.763
29 Te 0.250 0.731 0.626
30 Te 0.250 0.769 0.126
31 Te 0.750 0.269 0.374
32 Te 0.750 0.231 0.874
33 Au 0.250 0.866 0.925
34 Au 0.250 0.634 0.425
35 Au 0.750 0.134 0.075
36 Au 0.750 0.366 0.575

Values from the calculation:
uncorrected energy = -0.194 hartree per atom

***

(2)
VASP calculation (PBEsol) on a geometry-optimized AlSiPt2 structure.

a = 2.999 Å, b = 4.308 Å, c = 4.829 Å
α = 100.06°, β = 90.00°, γ = 110.37°
Atoms (fractional coordinates):
1 Si 0.000 0.000 0.500
2 Al 0.500 0.000 0.000
3 Pt 0.751 0.503 0.747
4 Pt 0.249 0.497 0.253

Values from the calculation:
uncorrected energy = -0.241 hartree per atom

***

(3)
VASP calculation (PBEsol) on a geometry-optimized SbMoI2Cl structure.

a = 5.275 Å, b = 5.267 Å, c = 5.267 Å
α = 90.00°, β = 90.00°, γ = 90.00°
Atoms (fractional coordinates):
1 I 0.000 0.000 0.500
2 I 0.000 0.500 0.000
3 Sb 0.500 0.000 0.000
4 Mo 0.000 0.000 0.000
5 Cl 0.500 0.500 0.500

Values from the calculation:
uncorrected energy = -0.150 hartree per atom

***

(4)
VASP calculation (PBEsol) on a geometry-optimized Ca2ReSe structure.

a = 3.065 Å, b = 5.267 Å, c = 5.267 Å
α = 103.85°, β = 90.00°, γ = 90.00°
Atoms (fractional coordinates):
1 Re 0.500 0.000 0.000
2 Ca 0.000 0.500 0.000
3 Ca 0.000 0.000 0.500
4 Se 0.500 0.500 0.500

Values from the calculation:
uncorrected energy = -0.193 hartree per atom

***

(5)
VASP calculation (PBEsol) on a geometry-optimized Al2GeH2O6 structure.

a = 4.990 Å, b = 4.990 Å, c = 8.968 Å
α = 96.26°, β = 96.26°, γ = 115.95°
Atoms (fractional coordinates):
1 Al 0.286 0.556 0.086
2 Al 0.444 0.714 0.414
3 Al 0.714 0.444 0.914
4 Al 0.556 0.286 0.586
5 Ge 0.721 0.279 0.250
6 Ge 0.279 0.721 0.750
7 H 0.175 0.978 0.048
8 H 0.022 0.825 0.452
9 H 0.825 0.022 0.952
10 H 0.978 0.175 0.548
11 O 0.664 0.483 0.410
12 O 0.517 0.336 0.090
13 O 0.336 0.517 0.590
14 O 0.483 0.664 0.910
15 O 0.116 0.428 0.263
16 O 0.572 0.884 0.237
17 O 0.884 0.572 0.737
18 O 0.428 0.116 0.763
19 O 0.060 0.756 0.038
20 O 0.244 0.940 0.462
21 O 0.940 0.244 0.962
22 O 0.756 0.060 0.538

Values from the calculation:
uncorrected energy = -0.251 hartree per atom

***

(6)
VASP calculation (PBEsol) on a geometry-optimized BaMgIn3 structure.

a = 4.788 Å, b = 4.788 Å, c = 7.101 Å
α = 109.70°, β = 109.70°, γ = 90.00°
Atoms (fractional coordinates):
1 Mg 0.250 0.750 0.500
2 Ba 0.000 0.000 0.000
3 In 0.613 0.613 0.227
4 In 0.387 0.387 0.773
5 In 0.750 0.250 0.500

Values from the calculation:
uncorrected energy = -0.109 hartree per atom
formation energy from the elements = -1.99 eV/f.u.

***

(7)
VASP calculation (PBEsol) on a geometry-optimized Na2TiGeO5 structure.

a = 5.168 Å, b = 6.644 Å, c = 6.644 Å
α = 90.00°, β = 90.00°, γ = 90.00°
Atoms (fractional coordinates):
1 Na 0.000 0.750 0.250
2 Na 0.000 0.750 0.750
3 Na 0.000 0.250 0.750
4 Na 0.000 0.250 0.250
5 Ti 0.573 0.500 0.000
6 Ti 0.427 0.000 0.500
7 Ge 0.500 0.500 0.500
8 Ge 0.500 0.000 0.000
9 O 0.696 0.217 0.000
10 O 0.696 0.783 0.000
11 O 0.696 0.500 0.717
12 O 0.696 0.500 0.283
13 O 0.304 0.000 0.217
14 O 0.304 0.717 0.500
15 O 0.304 0.283 0.500
16 O 0.304 0.000 0.783
17 O 0.759 0.000 0.500
18 O 0.241 0.500 0.000

Values from the calculation:
uncorrected energy = -0.255 hartree per atom

***

(8)
VASP calculation (PBEsol) on a geometry-optimized LiCd2Pb structure.

a = 3.401 Å, b = 5.107 Å, c = 5.541 Å
α = 100.59°, β = 90.00°, γ = 109.45°
Atoms (fractional coordinates):
1 Pb 0.249 0.497 0.729
2 Cd 0.004 0.008 0.032
3 Cd 0.752 0.503 0.249
4 Li 0.496 0.992 0.489

Values from the calculation:
uncorrected energy = -0.080 hartree per atom
formation energy from the elements = -0.38 eV/f.u.

***

(9)
VASP calculation (PBEsol) on a geometry-optimized Ta2HgI structure.

a = 4.751 Å, b = 4.751 Å, c = 4.751 Å
α = 60.00°, β = 60.00°, γ = 60.00°
Atoms (fractional coordinates):
1 I 0.000 0.000 0.000
2 Hg 0.500 0.500 0.500
3 Ta 0.250 0.250 0.250
4 Ta 0.750 0.750 0.750

Values from the calculation:
uncorrected energy = -0.226 hartree per atom

***

(10)
VASP calculation (PBEsol) on a geometry-optimized HfMgTaI2 structure.

a = 5.384 Å, b = 5.384 Å, c = 5.714 Å
α = 90.00°, β = 90.00°, γ = 90.00°
Atoms (fractional coordinates):
1 I 0.000 0.500 0.000
2 I 0.500 0.000 0.000
3 Mg 0.000 0.000 0.500
4 Hf 0.000 0.000 0.000
5 Ta 0.500 0.500 0.500

Values from the calculation:
uncorrected energy = -0.156 hartree per atom

***

(11)
VASP calculation (PBEsol) on a geometry-optimized NbI3 structure.

a = 6.177 Å, b = 7.177 Å, c = 7.177 Å
α = 120.00°, β = 90.00°, γ = 90.00°
Atoms (fractional coordinates):
1 I 0.750 0.000 0.329
2 I 0.250 0.671 0.000
3 I 0.250 0.000 0.671
4 I 0.750 0.329 0.000
5 I 0.250 0.329 0.329
6 I 0.750 0.671 0.671
7 Nb 0.500 0.000 0.000
8 Nb 0.000 0.000 0.000

Values from the calculation:
uncorrected energy = -0.164 hartree per atom

***

(12)
VASP calculation (PBEsol) on a geometry-optimized LiCaCl structure.

a = 3.737 Å, b = 3.737 Å, c = 6.214 Å
α = 90.00°, β = 90.00°, γ = 120.00°
Atoms (fractional coordinates):
1 Ca 0.000 0.000 0.961
2 Cl 0.333 0.667 0.643
3 Li 0.667 0.333 0.396

Values from the calculation:
uncorrected energy = -0.114 hartree per atom